P:
! CePmInRu GGA-PBE relaxed; values from VASP
&SYSTEM
  ibrav = 0, nat = 4, ntyp = 4
/
ATOMIC_SPECIES
Ce 140.12 Ce.upf
Pm 145.00 Pm.upf
In 114.82 In.upf
Ru 101.07 Ru.upf
ATOMIC_POSITIONS angstrom
Ce 0.0000 0.0000 0.0000
Pm 3.6642 3.6642 3.6642
In 1.8321 1.8321 1.8321
Ru 5.4963 5.4963 5.4963
CELL_PARAMETERS angstrom
0.0000 3.6642 3.6642
3.6642 0.0000 3.6642
3.6642 3.6642 0.0000
! density of states at the Fermi level: 6.33 states/eV per cell
! V: 98 Å³/f.u.

Q:
! CePmInRu GGA-PBE relaxed; values from VASP
&SYSTEM
  ibrav = 0, nat = 4, ntyp = 4
/
ATOMIC_SPECIES
Ce 140.12 Ce.upf
Pm 145.00 Pm.upf
In 114.82 In.upf
Ru 101.07 Ru.upf
ATOMIC_POSITIONS angstrom
Ce 0.0000 0.0000 0.0000
Pm 0.0000 0.0000 3.5061
In 1.7013 1.7013 6.0109
Ru 1.7013 1.7013 1.6560
CELL_PARAMETERS angstrom
3.4026 0.0000 0.0000
0.0000 3.4026 0.0000
0.0000 0.0000 8.5161
! density of states at the Fermi level: 3.99 states/eV per cell
! V: 99 Å³/f.u.

In terms of stability, Q leads; the second structure lies 181 meV per atom higher.

P:
! CePmInSn GGA-PBE relaxed; values from VASP
&SYSTEM
  ibrav = 0, nat = 4, ntyp = 4
/
ATOMIC_SPECIES
Ce 140.12 Ce.upf
Pm 145.00 Pm.upf
In 114.82 In.upf
Sn 118.71 Sn.upf
ATOMIC_POSITIONS angstrom
Ce 0.0000 0.0000 0.0000
Pm 0.0000 0.0000 4.4759
In 0.0000 2.5037 2.2379
Sn 2.5037 0.0000 2.2379
CELL_PARAMETERS angstrom
-2.5037 2.5037 4.4759
2.5037 -2.5037 4.4759
2.5037 2.5037 -4.4759
! density of states at the Fermi level: 8.36 states/eV per cell
! V: 112 Å³/f.u.

Q:
! CePmInSn GGA-PBE relaxed; values from VASP
&SYSTEM
  ibrav = 0, nat = 4, ntyp = 4
/
ATOMIC_SPECIES
Ce 140.12 Ce.upf
Pm 145.00 Pm.upf
In 114.82 In.upf
Sn 118.71 Sn.upf
ATOMIC_POSITIONS angstrom
Ce 0.0000 0.0000 0.0000
Pm 3.8590 3.8590 3.8590
In 1.9295 1.9295 1.9295
Sn 5.7884 5.7884 5.7884
CELL_PARAMETERS angstrom
0.0000 3.8590 3.8590
3.8590 0.0000 3.8590
3.8590 3.8590 0.0000
! density of states at the Fermi level: 8.55 states/eV per cell
! V: 115 Å³/f.u.

In terms of stability, P leads; the second structure lies 44 meV per atom higher.

P:
! CePr2In4 GGA-PBE relaxed; values from VASP
&SYSTEM
  ibrav = 0, nat = 7, ntyp = 3
/
ATOMIC_SPECIES
Ce 140.12 Ce.upf
Pr 140.91 Pr.upf
In 114.82 In.upf
ATOMIC_POSITIONS angstrom
Ce 0.0000 0.0000 0.0000
Pr 0.0000 0.0000 6.3539
Pr 0.0000 0.0000 9.7808
In 2.9081 0.0000 0.0000
In 0.0000 0.0000 3.0797
In 0.0000 2.9081 0.0000
In 0.0000 0.0000 13.0550
CELL_PARAMETERS angstrom
-2.9081 2.9081 8.0674
2.9081 -2.9081 8.0674
2.9081 2.9081 -8.0674
! density of states at the Fermi level: 15.95 states/eV per cell
! V: 273 Å³/f.u.

Q:
! CePr2In4 GGA-PBE relaxed; values from VASP
&SYSTEM
  ibrav = 0, nat = 7, ntyp = 3
/
ATOMIC_SPECIES
Ce 140.12 Ce.upf
Pr 140.91 Pr.upf
In 114.82 In.upf
ATOMIC_POSITIONS angstrom
Ce 0.0000 0.0000 0.0000
Pr 0.0000 0.0000 3.7637
Pr 0.0000 0.0000 10.9316
In 2.7359 0.0000 1.6576
In 2.7359 0.0000 5.6900
In 0.0000 2.7359 1.6576
In 0.0000 2.7359 5.6900
CELL_PARAMETERS angstrom
-2.7359 2.7359 7.3477
2.7359 -2.7359 7.3477
2.7359 2.7359 -7.3477
! density of states at the Fermi level: 10.67 states/eV per cell
! V: 220 Å³/f.u.

In terms of stability, Q leads; the second structure lies 497 meV per atom higher.

P:
! CePr4In2 GGA-PBE relaxed; values from VASP
&SYSTEM
  ibrav = 0, nat = 14, ntyp = 3
/
ATOMIC_SPECIES
Ce 140.12 Ce.upf
Pr 140.91 Pr.upf
In 114.82 In.upf
ATOMIC_POSITIONS angstrom
Ce 4.6645 5.5287 4.8590
Ce 4.6645 -5.5287 1.6197
Pr 3.0092 3.4747 1.6197
Pr 2.7499 0.0000 0.0000
Pr 2.7499 0.0000 3.2393
Pr 6.3198 3.4747 1.6197
Pr 3.0092 -3.4747 4.8590
Pr 6.5791 0.0000 0.0000
Pr 6.5791 0.0000 3.2393
Pr 6.3198 -3.4747 4.8590
In 4.6645 6.2803 1.6197
In 4.6645 2.3534 4.8590
In 4.6645 -2.3534 1.6197
In 4.6645 -6.2803 4.8590
CELL_PARAMETERS angstrom
4.6645 -7.4743 0.0000
4.6645 7.4743 0.0000
0.0000 0.0000 6.4787
! density of states at the Fermi level: 23.87 states/eV per cell
! V: 226 Å³/f.u.

Q:
! CePr4In2 GGA-PBE relaxed; values from VASP
&SYSTEM
  ibrav = 0, nat = 7, ntyp = 3
/
ATOMIC_SPECIES
Ce 140.12 Ce.upf
Pr 140.91 Pr.upf
In 114.82 In.upf
ATOMIC_POSITIONS angstrom
Ce 0.0000 0.0000 0.0000
Pr 1.6894 2.5797 0.0000
Pr 2.5504 3.2029 3.1818
Pr 1.6894 -2.5797 0.0000
Pr 2.5504 -3.2029 3.1818
In 1.7466 0.0000 4.6547
In 3.3542 0.0000 1.7089
CELL_PARAMETERS angstrom
3.3787 -5.1595 0.0000
3.3787 5.1595 0.0000
-1.6566 0.0000 6.3637
! density of states at the Fermi level: 12.82 states/eV per cell
! V: 222 Å³/f.u.

In terms of stability, P leads; the second structure lies 179 meV per atom higher.

P:
! CePr2In GGA-PBE relaxed; values from VASP
&SYSTEM
  ibrav = 0, nat = 4, ntyp = 3
/
ATOMIC_SPECIES
Ce 140.12 Ce.upf
Pr 140.91 Pr.upf
In 114.82 In.upf
ATOMIC_POSITIONS angstrom
Ce 0.0000 0.0000 0.0000
Pr 1.8416 1.8416 2.4299
Pr 1.8416 1.8416 6.7419
In 0.0000 0.0000 4.5859
CELL_PARAMETERS angstrom
3.6831 0.0000 0.0000
0.0000 3.6831 0.0000
0.0000 0.0000 9.1718
! density of states at the Fermi level: 5.50 states/eV per cell
! V: 124 Å³/f.u.

Q:
! CePr2In GGA-PBE relaxed; values from VASP
&SYSTEM
  ibrav = 0, nat = 4, ntyp = 3
/
ATOMIC_SPECIES
Ce 140.12 Ce.upf
Pr 140.91 Pr.upf
In 114.82 In.upf
ATOMIC_POSITIONS angstrom
Ce 0.0000 0.0000 0.0000
Pr 0.0000 0.0000 3.3436
Pr 0.0000 0.0000 33.2468
In 0.0000 0.0000 18.2952
CELL_PARAMETERS angstrom
1.7265 0.9968 12.1968
-1.7265 0.9968 12.1968
0.0000 -1.9935 12.1968
! density of states at the Fermi level: 7.76 states/eV per cell
! V: 126 Å³/f.u.

In terms of stability, P leads; the second structure lies 251 meV per atom higher.

P:
! CePr2In GGA-PBE relaxed; values from VASP
&SYSTEM
  ibrav = 0, nat = 4, ntyp = 3
/
ATOMIC_SPECIES
Ce 140.12 Ce.upf
Pr 140.91 Pr.upf
In 114.82 In.upf
ATOMIC_POSITIONS angstrom
Ce 0.0000 0.0000 0.0000
Pr 0.0000 0.0000 19.6161
Pr 0.0000 0.0000 25.4968
In 0.0000 0.0000 5.6483
CELL_PARAMETERS angstrom
1.8117 1.0460 11.2700
-1.8117 1.0460 11.2700
0.0000 -2.0919 11.2700
! density of states at the Fermi level: 7.72 states/eV per cell
! V: 128 Å³/f.u.

Q:
! CePr2In GGA-PBE relaxed; values from VASP
&SYSTEM
  ibrav = 0, nat = 4, ntyp = 3
/
ATOMIC_SPECIES
Ce 140.12 Ce.upf
Pr 140.91 Pr.upf
In 114.82 In.upf
ATOMIC_POSITIONS angstrom
Ce 0.0000 0.0000 0.0000
Pr 0.0000 2.5155 2.4055
Pr 2.5155 0.0000 2.4055
In 2.5155 2.5155 0.0000
CELL_PARAMETERS angstrom
5.0310 0.0000 0.0000
0.0000 5.0310 0.0000
0.0000 0.0000 4.8109
! density of states at the Fermi level: 8.67 states/eV per cell
! V: 122 Å³/f.u.

R:
! CePr2In GGA-PBE relaxed; values from VASP
&SYSTEM
  ibrav = 0, nat = 4, ntyp = 3
/
ATOMIC_SPECIES
Ce 140.12 Ce.upf
Pr 140.91 Pr.upf
In 114.82 In.upf
ATOMIC_POSITIONS angstrom
Ce 0.0000 0.0000 0.0000
Pr 1.9676 1.9676 1.9676
Pr 5.9028 5.9028 5.9028
In 3.9352 3.9352 3.9352
CELL_PARAMETERS angstrom
0.0000 3.9352 3.9352
3.9352 0.0000 3.9352
3.9352 3.9352 0.0000
! density of states at the Fermi level: 7.87 states/eV per cell
! V: 122 Å³/f.u.

In terms of stability, Q leads; the second structure lies 135 meV per atom higher.

P:
! CePr3In4 GGA-PBE relaxed; values from VASP
&SYSTEM
  ibrav = 0, nat = 8, ntyp = 3
/
ATOMIC_SPECIES
Ce 140.12 Ce.upf
Pr 140.91 Pr.upf
In 114.82 In.upf
ATOMIC_POSITIONS angstrom
Ce 0.0000 0.0000 0.0000
Pr 1.8015 0.0000 4.1391
Pr 0.0000 0.0000 9.5818
Pr 0.0000 3.6995 5.4427
In 1.8015 -1.5209 7.1450
In 0.0000 2.1787 2.4368
In 1.8015 1.5209 7.1450
In 0.0000 5.2204 2.4368
CELL_PARAMETERS angstrom
-1.8015 3.6995 9.5818
1.8015 -3.6995 9.5818
1.8015 3.6995 -9.5818
! density of states at the Fermi level: 13.53 states/eV per cell
! V: 255 Å³/f.u.

Q:
! CePr3In4 GGA-PBE relaxed; values from VASP
&SYSTEM
  ibrav = 0, nat = 8, ntyp = 3
/
ATOMIC_SPECIES
Ce 140.12 Ce.upf
Pr 140.91 Pr.upf
In 114.82 In.upf
ATOMIC_POSITIONS angstrom
Ce 0.0000 0.0000 0.0000
Pr 0.0000 0.0000 3.9044
Pr 0.0000 0.0000 7.8392
Pr 0.0000 0.0000 11.7741
In 1.9423 1.9423 1.9405
In 1.9423 1.9423 5.8640
In 1.9423 1.9423 9.8145
In 1.9423 1.9423 13.7379
CELL_PARAMETERS angstrom
3.8846 0.0000 0.0000
0.0000 3.8846 0.0000
0.0000 0.0000 15.6785
! density of states at the Fermi level: 11.03 states/eV per cell
! V: 237 Å³/f.u.

In terms of stability, Q leads; the second structure lies 183 meV per atom higher.

P:
! CePr2In3 GGA-PBE relaxed; values from VASP
&SYSTEM
  ibrav = 0, nat = 12, ntyp = 3
/
ATOMIC_SPECIES
Ce 140.12 Ce.upf
Pr 140.91 Pr.upf
In 114.82 In.upf
ATOMIC_POSITIONS angstrom
Ce 6.6407 4.3132 4.2405
Ce 6.6407 -4.3132 1.4135
Pr 4.8958 2.1545 1.4135
Pr 8.3856 2.1545 1.4135
Pr 4.8958 -2.1545 4.2405
Pr 8.3856 -2.1545 4.2405
In 2.8817 0.0000 0.0000
In 2.8817 0.0000 2.8270
In 6.6407 0.9456 4.2405
In 6.6407 -0.9456 1.4135
In 10.3997 0.0000 0.0000
In 10.3997 0.0000 2.8270
CELL_PARAMETERS angstrom
6.6407 -5.0204 0.0000
6.6407 5.0204 0.0000
0.0000 0.0000 5.6540
! density of states at the Fermi level: 19.13 states/eV per cell
! V: 188 Å³/f.u.

Q:
! CePr2In3 GGA-PBE relaxed; values from VASP
&SYSTEM
  ibrav = 0, nat = 12, ntyp = 3
/
ATOMIC_SPECIES
Ce 140.12 Ce.upf
Pr 140.91 Pr.upf
In 114.82 In.upf
ATOMIC_POSITIONS angstrom
Ce 2.7496 5.4918 0.0000
Ce 2.7496 -5.4918 0.0000
Pr 2.7486 5.4980 3.9010
Pr 2.7496 0.0000 0.0000
Pr 2.7486 0.0000 3.9010
Pr 2.7486 -5.4980 3.9010
In 0.0049 0.0000 1.9462
In 2.7470 2.7482 5.8545
In 2.7502 2.7482 1.9474
In 2.7470 -2.7482 5.8545
In 2.7502 -2.7482 1.9474
In 5.4924 0.0000 5.8558
CELL_PARAMETERS angstrom
2.7496 -8.2536 0.0000
2.7496 8.2536 0.0000
-0.0019 0.0000 7.8020
! density of states at the Fermi level: 18.66 states/eV per cell
! V: 177 Å³/f.u.

In terms of stability, Q leads; the second structure lies 232 meV per atom higher.

P:
! CePr5In4 GGA-PBE relaxed; values from VASP
&SYSTEM
  ibrav = 0, nat = 10, ntyp = 3
/
ATOMIC_SPECIES
Ce 140.12 Ce.upf
Pr 140.91 Pr.upf
In 114.82 In.upf
ATOMIC_POSITIONS angstrom
Ce 0.0000 0.0000 0.0000
Pr 1.8337 1.8337 2.4297
Pr 1.8337 1.8337 6.8099
Pr 1.8337 1.8337 11.2185
Pr 1.8337 1.8337 15.6270
Pr 1.8337 1.8337 20.0072
In 0.0000 0.0000 4.5903
In 0.0000 0.0000 9.0114
In 0.0000 0.0000 13.4256
In 0.0000 0.0000 17.8467
CELL_PARAMETERS angstrom
3.6674 0.0000 0.0000
0.0000 3.6674 0.0000
0.0000 0.0000 22.4370
! density of states at the Fermi level: 8.79 states/eV per cell
! V: 302 Å³/f.u.

Q:
! CePr5In4 GGA-PBE relaxed; values from VASP
&SYSTEM
  ibrav = 0, nat = 20, ntyp = 3
/
ATOMIC_SPECIES
Ce 140.12 Ce.upf
Pr 140.91 Pr.upf
In 114.82 In.upf
ATOMIC_POSITIONS angstrom
Ce 2.0811 2.3333 1.4787
Ce 6.2432 7.0000 7.4629
Pr 0.0500 5.1681 2.0576
Pr 0.0500 8.8320 2.0576
Pr 2.0811 7.0000 5.1934
Pr 4.1122 5.1681 2.0576
Pr 4.1122 8.8320 2.0576
Pr 4.2122 0.5014 6.8840
Pr 4.2122 4.1653 6.8840
Pr 6.2432 2.3333 3.7482
Pr 8.2743 0.5014 6.8840
Pr 8.2743 4.1653 6.8840
In 0.7251 7.0000 8.3914
In 2.0811 0.8667 4.4057
In 2.0811 3.8000 4.4057
In 3.4370 7.0000 8.3914
In 4.8873 2.3333 0.5502
In 6.2432 5.5334 4.5359
In 6.2432 8.4667 4.5359
In 7.5992 2.3333 0.5502
CELL_PARAMETERS angstrom
8.3243 0.0000 0.0000
0.0000 9.3334 0.0000
0.0000 0.0000 8.9416
! density of states at the Fermi level: 29.30 states/eV per cell
! V: 347 Å³/f.u.

In terms of stability, P leads; the second structure lies 260 meV per atom higher.

P:
! Ce2InPt9 GGA-PBE relaxed; values from VASP
&SYSTEM
  ibrav = 0, nat = 12, ntyp = 3
/
ATOMIC_SPECIES
Ce 140.12 Ce.upf
In 114.82 In.upf
Pt 195.08 Pt.upf
ATOMIC_POSITIONS angstrom
Ce 0.0000 0.0000 3.6794
Ce 0.0000 0.0000 23.2604
In 0.0000 0.0000 0.0000
Pt -1.3681 -0.7899 11.2830
Pt 0.0000 0.0000 8.9502
Pt 0.0000 -1.5797 15.6569
Pt -1.3681 0.7899 15.6569
Pt 0.0000 0.0000 13.4699
Pt 1.3681 -0.7899 11.2830
Pt 0.0000 1.5797 11.2830
Pt 0.0000 0.0000 17.9897
Pt 1.3681 0.7899 15.6568
CELL_PARAMETERS angstrom
2.7067 1.5627 8.9799
-2.7067 1.5627 8.9799
0.0000 -3.1254 8.9799
! density of states at the Fermi level: 15.36 states/eV per cell
! V: 228 Å³/f.u.

Q:
! Ce2InPt9 GGA-PBE relaxed; values from VASP
&SYSTEM
  ibrav = 0, nat = 12, ntyp = 3
/
ATOMIC_SPECIES
Ce 140.12 Ce.upf
In 114.82 In.upf
Pt 195.08 Pt.upf
ATOMIC_POSITIONS angstrom
Ce 0.0000 0.0000 2.1040
Ce 0.0000 0.0000 10.2228
In 0.0000 0.0000 6.1634
Pt 0.0000 2.0704 0.0000
Pt 0.0000 2.0704 4.1456
Pt 0.0000 2.0704 8.1811
Pt 2.0704 0.0000 0.0000
Pt 2.0704 0.0000 4.1456
Pt 2.0704 0.0000 8.1811
Pt 2.0704 2.0704 2.0990
Pt 2.0704 2.0704 6.1634
Pt 2.0704 2.0704 10.2278
CELL_PARAMETERS angstrom
4.1407 0.0000 0.0000
0.0000 4.1407 0.0000
0.0000 0.0000 12.3267
! density of states at the Fermi level: 3.78 states/eV per cell
! V: 211 Å³/f.u.

In terms of stability, Q leads; the second structure lies 146 meV per atom higher.

P:
! Ce2InPt GGA-PBE relaxed; values from VASP
&SYSTEM
  ibrav = 0, nat = 4, ntyp = 3
/
ATOMIC_SPECIES
Ce 140.12 Ce.upf
In 114.82 In.upf
Pt 195.08 Pt.upf
ATOMIC_POSITIONS angstrom
Ce 0.0000 2.2461 0.0000
Ce 2.2461 0.0000 0.0000
In 0.0000 0.0000 2.2855
Pt 2.2461 2.2461 2.2855
CELL_PARAMETERS angstrom
4.4921 0.0000 0.0000
0.0000 4.4921 0.0000
0.0000 0.0000 4.5711
! density of states at the Fermi level: 6.61 states/eV per cell
! V: 92 Å³/f.u.

Q:
! Ce2InPt GGA-PBE relaxed; values from VASP
&SYSTEM
  ibrav = 0, nat = 4, ntyp = 3
/
ATOMIC_SPECIES
Ce 140.12 Ce.upf
In 114.82 In.upf
Pt 195.08 Pt.upf
ATOMIC_POSITIONS angstrom
Ce 0.0000 0.0000 5.9843
Ce 0.0000 0.0000 19.3843
In 0.0000 0.0000 0.0000
Pt 0.0000 0.0000 12.6843
CELL_PARAMETERS angstrom
1.9789 1.1425 8.4562
-1.9789 1.1425 8.4562
0.0000 -2.2850 8.4562
! density of states at the Fermi level: 11.17 states/eV per cell
! V: 115 Å³/f.u.

In terms of stability, P leads; the second structure lies 20 meV per atom higher.